# Er5MgPd6

A geometry-optimized Er5MgPd6 structure (PBE-GGA, Alexandria).

```
Er5MgPd6
1.0
4.697 -0.016 -1.324
-3.520 6.800 -3.502
-0.201 -0.971 8.362
Mg Pd Er
1 6 5
Cartesian
0.000 0.000 0.000
0.803 0.165 2.874
1.283 3.050 4.629
2.590 1.505 0.261
-1.615 4.308 3.274
-0.307 2.764 -1.094
0.173 5.649 0.661
1.620 0.255 5.817
-1.300 1.600 4.436
0.488 2.907 1.767
-2.422 4.229 0.423
-0.645 5.559 -2.282
```

Output
- E_form (kJ per mole of atoms) = -86
- symmetry = C2/m, No. 12
- V (A^3/atom) = 20.4
- Fermi-level density of states (states/eV/cell) = 6.121

***

# LaFeSi2

A geometry-optimized LaFeSi2 structure (PBE-GGA, Alexandria).

```
LaFeSi2
1.0
3.092 0.001 0.000
-0.001 3.092 0.000
0.000 0.000 6.974
Fe La Si
1 1 2
Cartesian
1.545 1.546 1.744
1.545 1.546 5.231
0.000 0.000 0.513
0.000 0.000 2.974
```

Output
- symmetry = P4/mmm, No. 123
- V (A^3/atom) = 16.7
- Fermi-level density of states (states/eV/cell) = 2.167
- ΔE_f (raw) (eV/atom) = -0.278

***

# Nd2Tm3In3

A geometry-optimized Nd2Tm3In3 structure (PBE-GGA, Alexandria).

```
Nd2Tm3In3
1.0
4.498 0.000 -0.724
-0.182 4.711 -1.133
-0.602 0.027 10.586
Nd Tm In
2 3 3
Cartesian
0.713 3.587 4.425
3.000 1.151 4.304
1.194 1.828 7.411
2.519 2.910 1.318
2.249 0.000 -0.362
3.336 4.161 6.390
-0.091 2.356 -0.566
0.377 0.577 2.339
```

Output
- E_form (kJ per mole of atoms) = -32
- symmetry = Immm, No. 71
- V (A^3/atom) = 27.8
- E above lowest polymorph (eV per formula unit) = 0.058
- Fermi-level density of states (states/eV/cell) = 6.206

***

# RbNb2MoSe

A geometry-optimized RbNb2MoSe structure (PBE-GGA, Alexandria).

```
RbNb2MoSe
1.0
4.766 0.000 0.000
0.000 5.321 0.000
0.000 0.000 4.766
Mo Se Nb Rb
1 1 2 1
Cartesian
2.383 2.660 2.383
0.000 2.660 0.000
0.000 0.000 2.383
2.383 0.000 0.000
0.000 0.000 0.000
```

Output
- symmetry = P4/mmm, No. 123
- V (A^3/atom) = 24.2
- Fermi-level density of states (states/eV/cell) = 9.946
- ΔE_f (raw) (eV/atom) = 3.073

***

# TiNi2H

A geometry-optimized TiNi2H structure (PBE-GGA, Alexandria).

```
TiNi2H
1.0
0.000 2.798 2.798
2.798 0.000 2.798
2.798 2.798 0.000
Ni H Ti
2 1 1
Cartesian
1.399 1.399 1.399
4.197 4.197 4.197
0.000 0.000 0.000
2.798 2.798 2.798
```

Output
- symmetry = Fm-3m, No. 225
- V (A^3/atom) = 11.0
- E above lowest polymorph (eV per formula unit) = 1.452
- Fermi-level density of states (states/eV/cell) = 4.116

***

# TaCoTe2

A geometry-optimized TaCoTe2 structure (PBE-GGA, Alexandria).

```
TaCoTe2
1.0
4.835 0.000 0.000
2.418 4.188 0.000
2.418 1.396 3.948
Co Ta Te
1 1 2
Cartesian
4.835 2.792 1.974
7.253 4.188 2.961
0.000 0.000 0.000
2.418 1.396 0.987
```

Output
- symmetry = F-43m, No. 216
- V (A^3/atom) = 20.0
- Fermi-level density of states (states/eV/cell) = 4.243
- ΔE_f (raw) (eV/atom) = 0.811

***

- Among the records above, which one has the lowest Fermi-level density of states?
  LaFeSi2